1.
{"formula": "RbDyNO", "functional": "PBE", "state": "optimized geometry", "cell": [[4.0259, 0.0000, 0.0000], [0.0000, 4.0259, 0.0000], [0.0000, 0.0000, 8.8956]], "species": ["Rb", "Rb", "Dy", "Dy", "N", "N", "O", "O"], "frac_coords": [[0.2500, 0.7500, 0.0000], [0.7500, 0.2500, 0.0000], [0.2500, 0.2500, 0.3856], [0.7500, 0.7500, 0.6144], [0.2500, 0.2500, 0.7811], [0.7500, 0.7500, 0.2189], [0.2500, 0.7500, 0.5000], [0.7500, 0.2500, 0.5000]], "e_tot_ev_per_atom": -5.4407}

2.
{"formula": "Dy3S2NO", "functional": "PBE", "state": "optimized geometry", "cell": [[7.5573, -1.9069, 0.0000], [7.5573, 1.9069, 0.0000], [-1.5533, 0.0000, 9.3751]], "species": ["Dy", "Dy", "Dy", "Dy", "Dy", "Dy", "S", "S", "S", "S", "N", "N", "O", "O"], "frac_coords": [[0.0518, 0.0518, 0.2643], [0.1980, 0.1980, 0.6712], [0.3888, 0.3888, 0.0556], [0.6112, 0.6112, 0.9444], [0.8020, 0.8020, 0.3288], [0.9482, 0.9482, 0.7357], [0.2147, 0.2147, 0.1517], [0.3653, 0.3653, 0.5292], [0.6347, 0.6347, 0.4708], [0.7853, 0.7853, 0.8483], [0.0958, 0.0958, 0.8052], [0.9042, 0.9042, 0.1948], [0.4605, 0.4605, 0.8606], [0.5395, 0.5395, 0.1394]], "e_tot_ev_per_atom": -7.4448}

3.
{"formula": "DySbNO", "functional": "PBE", "state": "optimized geometry", "cell": [[3.8166, 0.0000, 0.0000], [0.0000, 6.3957, 0.0000], [0.0000, 0.0000, 6.3287]], "species": ["Dy", "Dy", "Sb", "Sb", "N", "N", "O", "O"], "frac_coords": [[0.0000, 0.1920, 0.0000], [0.0000, 0.8080, 0.5000], [0.5000, 0.3285, 0.5845], [0.5000, 0.6715, 0.0845], [0.5000, 0.3844, 0.9264], [0.5000, 0.6156, 0.4264], [0.0000, 0.0703, 0.3047], [0.0000, 0.9297, 0.8047]], "e_tot_ev_per_atom": -6.7525}

4.
{"formula": "DySbNO", "functional": "PBE", "state": "optimized geometry", "cell": [[4.8933, 0.0000, 0.0000], [0.0000, 4.8933, 0.0000], [0.0000, 0.0000, 5.0367]], "species": ["Dy", "Dy", "Sb", "Sb", "N", "N", "O", "O"], "frac_coords": [[0.2500, 0.7500, 0.0000], [0.7500, 0.2500, 0.0000], [0.2500, 0.2500, 0.5000], [0.7500, 0.7500, 0.5000], [0.2500, 0.2500, 0.0879], [0.7500, 0.7500, 0.9121], [0.2500, 0.7500, 0.5000], [0.7500, 0.2500, 0.5000]], "e_tot_ev_per_atom": -6.5648}

5.
{"formula": "DySbNO", "functional": "PBE", "state": "optimized geometry", "cell": [[5.5362, 0.0000, 0.0000], [0.0000, 8.1253, 0.0000], [0.0000, 0.0000, 5.8051]], "species": ["Dy", "Dy", "Dy", "Dy", "Sb", "Sb", "Sb", "Sb", "N", "N", "N", "N", "O", "O", "O", "O"], "frac_coords": [[0.0116, 0.1283, 0.0000], [0.4884, 0.1283, 0.5000], [0.5116, 0.8717, 0.0000], [0.9884, 0.8717, 0.5000], [0.0199, 0.3708, 0.5031], [0.4801, 0.3708, 0.0031], [0.5199, 0.6292, 0.5031], [0.9801, 0.6292, 0.0031], [0.1445, 0.6057, 0.5052], [0.3555, 0.6057, 0.0052], [0.6445, 0.3943, 0.5052], [0.8555, 0.3943, 0.0052], [0.2496, 0.9839, 0.2500], [0.2504, 0.9839, 0.7500], [0.7496, 0.0161, 0.2500], [0.7504, 0.0161, 0.7500]], "e_tot_ev_per_atom": -6.9538}

6.
{"formula": "DySbNO", "functional": "PBE", "state": "optimized geometry", "cell": [[4.3543, 0.0000, 0.0000], [0.0000, 4.3543, 0.0000], [0.0000, 0.0000, 6.8942]], "species": ["Dy", "Dy", "Sb", "Sb", "N", "N", "O", "O"], "frac_coords": [[0.2500, 0.2500, 0.1020], [0.7500, 0.7500, 0.8980], [0.2500, 0.7500, 0.5000], [0.7500, 0.2500, 0.5000], [0.2500, 0.2500, 0.6475], [0.7500, 0.7500, 0.3525], [0.2500, 0.7500, 0.0000], [0.7500, 0.2500, 0.0000]], "e_tot_ev_per_atom": -6.4144}

Copy entry 2 word for word.
{"formula": "Dy3S2NO", "functional": "PBE", "state": "optimized geometry", "cell": [[7.5573, -1.9069, 0.0000], [7.5573, 1.9069, 0.0000], [-1.5533, 0.0000, 9.3751]], "species": ["Dy", "Dy", "Dy", "Dy", "Dy", "Dy", "S", "S", "S", "S", "N", "N", "O", "O"], "frac_coords": [[0.0518, 0.0518, 0.2643], [0.1980, 0.1980, 0.6712], [0.3888, 0.3888, 0.0556], [0.6112, 0.6112, 0.9444], [0.8020, 0.8020, 0.3288], [0.9482, 0.9482, 0.7357], [0.2147, 0.2147, 0.1517], [0.3653, 0.3653, 0.5292], [0.6347, 0.6347, 0.4708], [0.7853, 0.7853, 0.8483], [0.0958, 0.0958, 0.8052], [0.9042, 0.9042, 0.1948], [0.4605, 0.4605, 0.8606], [0.5395, 0.5395, 0.1394]], "e_tot_ev_per_atom": -7.4448}